## i
The following is a GGA-PBE calculation of crystalline CoNiAs2Br at its relaxed geometry, from the Alexandria database.

```
data_CoNiAs2Br
_symmetry_space_group_name_H-M 'P 4/m m m'
_symmetry_Int_Tables_number 123
_symmetry_space_group_name_Hall '-P 4 2'
_cell_length_a 4.485
_cell_length_b 4.485
_cell_length_c 5.277
_cell_angle_alpha 90.00
_cell_angle_beta 90.00
_cell_angle_gamma 90.00
loop_
_atom_site_label
_atom_site_type_symbol
_atom_site_fract_x
_atom_site_fract_y
_atom_site_fract_z
Co1 Co 0.000 0.000 0.000
Ni1 Ni 0.500 0.500 0.500
As1 As 0.000 0.500 0.500
Br1 Br 0.500 0.500 0.000
```

---

## ii
The following is a GGA-PBE calculation of crystalline CoNiAs2Br at its relaxed geometry, from the Alexandria database.

```
data_CoNiAs2Br
_symmetry_space_group_name_H-M 'P 4/m m m'
_symmetry_Int_Tables_number 123
_symmetry_space_group_name_Hall '-P 4 2'
_cell_length_a 4.436
_cell_length_b 4.436
_cell_length_c 5.149
_cell_angle_alpha 90.00
_cell_angle_beta 90.00
_cell_angle_gamma 90.00
loop_
_atom_site_label
_atom_site_type_symbol
_atom_site_fract_x
_atom_site_fract_y
_atom_site_fract_z
Co1 Co 0.000 0.000 0.000
Ni1 Ni 0.500 0.500 0.500
As1 As 0.000 0.500 0.000
Br1 Br 0.000 0.000 0.500
```

---

Which structure above is the least stable one? i is the least stable one.